Na5InI8: relaxed, PBE.

a = 9.281 Å, b = 9.281 Å, c = 9.281 Å
α = 104.58°, β = 104.58°, γ = 119.78°
Sites, in units of the cell vectors:
Na (0.000, 0.000, 0.000)
Na (0.079, 0.617, 0.957)
Na (0.383, 0.341, 0.463)
Na (0.659, 0.122, 0.043)
Na (0.878, 0.921, 0.537)
In (0.250, 0.750, 0.500)
I (0.330, 0.645, 0.747)
I (0.355, 0.102, 0.685)
I (0.364, 0.059, 0.172)
I (0.417, 0.670, 0.315)
I (0.808, 0.636, 0.694)
I (0.886, 0.192, 0.828)
I (0.898, 0.583, 0.253)
I (0.941, 0.114, 0.306)

Summary:
- Fermi-level density of states: 0.00 states/eV per atom
- Crystal system: tetragonal
- Uncorrected formation energy: -14.0 eV/f.u.
- Magnetic moment: 0.00 μB/atom


Na2InI: relaxed, PBE.

a = 7.162 Å, b = 7.162 Å, c = 7.162 Å
α = 105.32°, β = 105.32°, γ = 118.15°
Sites, in units of the cell vectors:
Na (0.108, 0.125, 0.483)
Na (0.375, 0.892, 0.017)
Na (0.642, 0.625, 0.517)
Na (0.875, 0.358, 0.983)
In (0.250, 0.750, 0.500)
In (0.500, 0.500, 0.000)
I (0.000, 0.000, 0.000)
I (0.750, 0.250, 0.500)

Summary:
- Fermi-level density of states: 0.02 states/eV per atom
- Crystal system: tetragonal
- Uncorrected formation energy: -1.5 eV/f.u.
- Magnetic moment: 0.00 μB/atom
- Polymorph energy (0 for the lowest one): 0.118 eV/atom


NaIn3I8: relaxed, PBE.

a = 7.819 Å, b = 7.819 Å, c = 10.382 Å
α = 92.33°, β = 92.33°, γ = 69.31°
Sites, in units of the cell vectors:
Na (0.000, 0.000, 0.000)
In (0.000, 0.000, 0.500)
In (0.369, 0.369, 0.229)
In (0.631, 0.631, 0.771)
I (0.249, 0.746, 0.764)
I (0.251, 0.251, 0.002)
I (0.254, 0.751, 0.236)
I (0.266, 0.266, 0.455)
I (0.734, 0.734, 0.545)
I (0.746, 0.249, 0.764)
I (0.749, 0.749, 0.998)
I (0.751, 0.254, 0.236)

Summary:
- Fermi-level density of states: 0.00 states/eV per atom
- Crystal system: monoclinic
- Uncorrected formation energy: -7.4 eV/f.u.
- Magnetic moment: 0.00 μB/atom


Na2InI3: relaxed, PBE.

a = 6.752 Å, b = 14.172 Å, c = 9.514 Å
α = 90.00°, β = 90.01°, γ = 90.00°
Sites, in units of the cell vectors:
Na (0.249, 0.242, 0.375)
Na (0.249, 0.258, 0.875)
Na (0.250, 0.584, 0.382)
Na (0.250, 0.916, 0.882)
Na (0.750, 0.084, 0.118)
Na (0.750, 0.416, 0.618)
Na (0.751, 0.742, 0.125)
Na (0.751, 0.758, 0.625)
In (0.251, 0.580, 0.872)
In (0.251, 0.920, 0.372)
In (0.749, 0.080, 0.628)
In (0.749, 0.420, 0.128)
I (0.249, 0.091, 0.643)
I (0.249, 0.409, 0.143)
I (0.250, 0.092, 0.109)
I (0.250, 0.408, 0.609)
I (0.251, 0.745, 0.129)
I (0.251, 0.755, 0.629)
I (0.749, 0.245, 0.371)
I (0.749, 0.255, 0.871)
I (0.750, 0.592, 0.391)
I (0.750, 0.908, 0.891)
I (0.751, 0.591, 0.857)
I (0.751, 0.909, 0.357)

Summary:
- Fermi-level density of states: 0.00 states/eV per atom
- Crystal system: monoclinic
- Uncorrected formation energy: -5.9 eV/f.u.
- Magnetic moment: 0.00 μB/atom
- Polymorph energy (0 for the lowest one): 0.000 eV/atom


Na3In5I12: relaxed, PBE.

a = 16.952 Å, b = 16.952 Å, c = 16.952 Å
α = 109.47°, β = 109.47°, γ = 109.47°
Sites, in units of the cell vectors:
Na (0.125, 0.250, 0.375)
Na (0.125, 0.375, 0.750)
Na (0.250, 0.375, 0.125)
Na (0.250, 0.875, 0.625)
Na (0.375, 0.125, 0.250)
Na (0.375, 0.750, 0.125)
Na (0.625, 0.250, 0.875)
Na (0.625, 0.875, 0.750)
Na (0.750, 0.125, 0.375)
Na (0.750, 0.625, 0.875)
Na (0.875, 0.625, 0.250)
Na (0.875, 0.750, 0.625)
In (0.000, 0.000, 0.000)
In (0.000, 0.000, 0.500)
In (0.000, 0.500, 0.000)
In (0.000, 0.500, 0.500)
In (0.125, 0.750, 0.875)
In (0.125, 0.875, 0.250)
In (0.250, 0.125, 0.875)
In (0.250, 0.625, 0.375)
In (0.375, 0.250, 0.625)
In (0.375, 0.625, 0.750)
In (0.500, 0.000, 0.000)
In (0.500, 0.000, 0.500)
In (0.500, 0.500, 0.000)
In (0.500, 0.500, 0.500)
In (0.625, 0.375, 0.250)
In (0.625, 0.750, 0.375)
In (0.750, 0.375, 0.625)
In (0.750, 0.875, 0.125)
In (0.875, 0.125, 0.750)
In (0.875, 0.250, 0.125)
I (0.036, 0.220, 0.131)
I (0.036, 0.316, 0.905)
I (0.089, 0.720, 0.684)
I (0.089, 0.869, 0.405)
I (0.095, 0.631, 0.411)
I (0.095, 0.964, 0.684)
I (0.131, 0.036, 0.220)
I (0.131, 0.595, 0.911)
I (0.184, 0.220, 0.589)
I (0.184, 0.464, 0.595)
I (0.220, 0.131, 0.036)
I (0.220, 0.589, 0.184)
I (0.280, 0.316, 0.911)
I (0.280, 0.464, 0.369)
I (0.316, 0.905, 0.036)
I (0.316, 0.911, 0.280)
I (0.369, 0.280, 0.464)
I (0.369, 0.589, 0.905)
I (0.405, 0.089, 0.869)
I (0.405, 0.816, 0.536)
I (0.411, 0.095, 0.631)
I (0.411, 0.816, 0.780)
I (0.464, 0.369, 0.280)
I (0.464, 0.595, 0.184)
I (0.536, 0.405, 0.816)
I (0.536, 0.631, 0.720)
I (0.589, 0.184, 0.220)
I (0.589, 0.905, 0.369)
I (0.595, 0.184, 0.464)
I (0.595, 0.911, 0.131)
I (0.631, 0.411, 0.095)
I (0.631, 0.720, 0.536)
I (0.684, 0.089, 0.720)
I (0.684, 0.095, 0.964)
I (0.720, 0.536, 0.631)
I (0.720, 0.684, 0.089)
I (0.780, 0.411, 0.816)
I (0.780, 0.869, 0.964)
I (0.816, 0.536, 0.405)
I (0.816, 0.780, 0.411)
I (0.869, 0.405, 0.089)
I (0.869, 0.964, 0.780)
I (0.905, 0.036, 0.316)
I (0.905, 0.369, 0.589)
I (0.911, 0.131, 0.595)
I (0.911, 0.280, 0.316)
I (0.964, 0.684, 0.095)
I (0.964, 0.780, 0.869)

Summary:
- Fermi-level density of states: 0.50 states/eV per atom
- Crystal system: cubic
- Uncorrected formation energy: -12.1 eV/f.u.
- Magnetic moment: 0.00 μB/atom


Na2InI: relaxed, PBE.

a = 3.911 Å, b = 3.911 Å, c = 8.069 Å
α = 90.00°, β = 90.00°, γ = 90.00°
Sites, in units of the cell vectors:
Na (0.000, 0.000, 0.239)
Na (0.000, 0.000, 0.761)
In (0.500, 0.500, 0.500)
I (0.500, 0.500, 0.000)

Summary:
- Fermi-level density of states: 0.28 states/eV per atom
- Crystal system: tetragonal
- Uncorrected formation energy: -2.0 eV/f.u.
- Magnetic moment: 0.00 μB/atom
- Polymorph energy (0 for the lowest one): 0.000 eV/atom


Na2InI: relaxed, PBE.

a = 10.718 Å, b = 10.718 Å, c = 10.718 Å
α = 21.70°, β = 21.70°, γ = 21.70°
Sites, in units of the cell vectors:
Na (0.100, 0.100, 0.100)
Na (0.900, 0.900, 0.900)
In (0.000, 0.000, 0.000)
I (0.500, 0.500, 0.500)

Summary:
- Fermi-level density of states: 0.39 states/eV per atom
- Crystal system: trigonal
- Uncorrected formation energy: -1.5 eV/f.u.
- Magnetic moment: 0.00 μB/atom
- Polymorph energy (0 for the lowest one): 0.118 eV/atom


NaIn2I3: relaxed, PBE.

a = 8.480 Å, b = 8.480 Å, c = 8.480 Å
α = 147.21°, β = 131.97°, γ = 59.37°
Sites, in units of the cell vectors:
Na (0.000, 0.000, 0.000)
In (0.332, 0.332, 0.000)
In (0.668, 0.668, 0.000)
I (0.151, 0.651, 0.500)
I (0.500, 0.000, 0.500)
I (0.849, 0.349, 0.500)

Summary:
- Fermi-level density of states: 0.00 states/eV per atom
- Crystal system: orthorhombic
- Uncorrected formation energy: -4.3 eV/f.u.
- Magnetic moment: 0.00 μB/atom


Na4In3I8: relaxed, PBE.

a = 9.282 Å, b = 9.282 Å, c = 9.326 Å
α = 119.31°, β = 119.31°, γ = 90.17°
Sites, in units of the cell vectors:
Na (0.000, 0.000, 0.000)
Na (0.000, 0.000, 0.500)
Na (0.000, 0.500, 0.000)
Na (0.500, 0.000, 0.000)
In (0.000, 0.500, 0.500)
In (0.500, 0.000, 0.500)
In (0.500, 0.500, 0.000)
I (0.231, 0.231, 0.977)
I (0.242, 0.758, 0.000)
I (0.243, 0.243, 0.487)
I (0.250, 0.750, 0.500)
I (0.750, 0.250, 0.500)
I (0.757, 0.757, 0.513)
I (0.758, 0.242, 0.000)
I (0.769, 0.769, 0.023)

Summary:
- Fermi-level density of states: 0.40 states/eV per atom
- Crystal system: monoclinic
- Uncorrected formation energy: -12.9 eV/f.u.
- Magnetic moment: 0.00 μB/atom


Na6In3I14: relaxed, PBE.

a = 12.156 Å, b = 12.156 Å, c = 7.391 Å
α = 90.00°, β = 90.00°, γ = 120.00°
Sites, in units of the cell vectors:
Na (0.169, 0.338, 0.000)
Na (0.169, 0.831, 0.000)
Na (0.503, 0.495, 0.487)
Na (0.505, 0.008, 0.487)
Na (0.662, 0.831, 0.000)
Na (0.992, 0.497, 0.487)
In (0.000, 0.000, 0.650)
In (0.333, 0.667, 0.657)
In (0.667, 0.333, 0.140)
I (0.000, 0.000, 0.281)
I (0.084, 0.542, 0.896)
I (0.206, 0.412, 0.423)
I (0.206, 0.794, 0.423)
I (0.239, 0.120, 0.808)
I (0.427, 0.213, 0.298)
I (0.458, 0.542, 0.896)
I (0.458, 0.916, 0.896)
I (0.588, 0.794, 0.423)
I (0.667, 0.333, 0.771)
I (0.786, 0.573, 0.298)
I (0.787, 0.214, 0.298)
I (0.880, 0.120, 0.808)
I (0.880, 0.761, 0.808)

Summary:
- Fermi-level density of states: 0.30 states/eV per atom
- Crystal system: trigonal
- Uncorrected formation energy: -19.6 eV/f.u.
- Magnetic moment: 0.00 μB/atom


NaInI2: relaxed, PBE.

a = 5.865 Å, b = 5.865 Å, c = 4.156 Å
α = 90.00°, β = 90.00°, γ = 90.00°
Sites, in units of the cell vectors:
Na (0.000, 0.000, 0.000)
In (0.500, 0.500, 0.000)
I (0.000, 0.500, 0.500)
I (0.500, 0.000, 0.500)

Summary:
- Crystal system: tetragonal
- Uncorrected formation energy: -3.0 eV/f.u.
- Magnetic moment: 0.00 μB/atom
- Polymorph energy (0 for the lowest one): 0.096 eV/atom


Na2InI3: relaxed, PBE.

a = 9.456 Å, b = 9.456 Å, c = 7.659 Å
α = 90.00°, β = 90.00°, γ = 116.81°
Sites, in units of the cell vectors:
Na (0.184, 0.184, 0.000)
Na (0.184, 0.184, 0.500)
Na (0.816, 0.816, 0.000)
Na (0.816, 0.816, 0.500)
In (0.244, 0.756, 0.750)
In (0.756, 0.244, 0.250)
I (0.103, 0.897, 0.250)
I (0.137, 0.409, 0.250)
I (0.409, 0.137, 0.750)
I (0.591, 0.863, 0.250)
I (0.863, 0.591, 0.750)
I (0.897, 0.103, 0.750)

Summary:
- Fermi-level density of states: 0.00 states/eV per atom
- Crystal system: orthorhombic
- Uncorrected formation energy: -5.2 eV/f.u.
- Magnetic moment: 0.00 μB/atom
- Polymorph energy (0 for the lowest one): 0.117 eV/atom